Crystalline Re2TcPb at its relaxed geometry, computed with PBE.

Unit cell a=5.3341 b=5.3341 c=5.3341 alpha=144.57 beta=129.86 gamma=62.89
Last column: nearest neighbours and their distance in Å.
Element x y z (fractional)
Pb (0.2492, 0.7492, 0.5000)  6 Re 2.78-2.82, 2 Tc 2.79
Tc (0.4982, 0.4982, 0.0000)  6 Re 2.78-2.85, 2 Pb 2.79
Re (0.7561, 0.2561, 0.5000)  2 Re 2.72, 4 Pb 2.78, 2 Tc 2.85
Re (0.9965, 0.9965, 0.0000)  2 Re 2.72, 4 Tc 2.78, 2 Pb 2.82

Properties
As for the density of states at the Fermi level: 0.8074 states/eV/atom. As for the space-group type: No. 44. As for the energy: -35.56 eV per formula unit.



Crystalline ReTc2Pb at its relaxed geometry, computed with PBE.

Unit cell a=5.1683 b=5.1683 c=5.1683 alpha=135.81 beta=135.81 gamma=64.28
Last column: nearest neighbours and their distance in Å.
Element x y z (fractional)
Tc (0.2500, 0.7500, 0.5000)  4 Re 2.75, 4 Tc 2.93, 4 Pb 2.93
Tc (0.0000, 0.0000, 0.0000)  4 Pb 2.75, 4 Tc 2.93, 4 Re 2.93
Re (0.7500, 0.2500, 0.5000)  8 Tc 2.75-2.93, 4 Pb 2.93
Pb (0.5000, 0.5000, 0.0000)  8 Tc 2.75-2.93, 4 Re 2.93

Properties
As for the density of states at the Fermi level: 1.1578 states/eV/atom. As for the space-group type: No. 119. As for the energy: -34.06 eV per formula unit.



Crystalline ReTc2Pb at its relaxed geometry, computed with PBE.

Unit cell a=2.9487 b=2.9487 c=7.8297 alpha=90.00 beta=90.00 gamma=90.00
Last column: nearest neighbours and their distance in Å.
Element x y z (fractional)
Re (0.5000, 0.5000, 0.7832)  4 Tc 2.69, 4 Re 2.95
Tc (0.0000, 0.0000, 0.9998)  4 Re 2.69, 8 Tc 2.70-2.95
Tc (0.5000, 0.5000, 0.2194)  8 Tc 2.70-2.95, 4 Pb 3.02
Pb (0.0000, 0.0000, 0.4976)  4 Pb 2.95, 4 Tc 3.02, 4 Re 3.06

Properties
As for the density of states at the Fermi level: 1.3723 states/eV/atom. As for the space-group type: No. 99. As for the energy: -34.57 eV per formula unit.



Crystalline ReTc2Pb at its relaxed geometry, computed with PBE.

Unit cell a=3.8454 b=2.9024 c=6.7276 alpha=69.47 beta=90.00 gamma=90.00
Last column: nearest neighbours and their distance in Å.
Element x y z (fractional)
Tc (0.0000, 0.4174, 0.5506)  1 Tc 2.51, 4 Re 2.71-2.73
Tc (0.0000, 0.0826, 0.9494)  1 Tc 2.51, 4 Re 2.71-2.73
Pb (0.5000, 0.2500, 0.2500)  2 Pb 2.90, 8 Tc 2.95-3.19, 2 Re 3.16
Re (0.5000, 0.7500, 0.7500)  8 Tc 2.71-2.73, 2 Re 2.90

Properties
As for the density of states at the Fermi level: 1.2293 states/eV/atom. As for the space-group type: No. 10. As for the energy: -34.66 eV per formula unit.



Crystalline Re2TcPb at its relaxed geometry, computed with PBE.

Unit cell a=3.9192 b=2.8933 c=6.7195 alpha=71.97 beta=90.00 gamma=90.00
Last column: nearest neighbours and their distance in Å.
Element x y z (fractional)
Re (0.0000, 0.8886, 0.0595)  1 Re 2.43, 4 Tc 2.72-2.73
Re (0.0000, 0.6114, 0.4405)  1 Re 2.43, 4 Tc 2.72-2.73
Pb (0.5000, 0.7500, 0.7500)  2 Pb 2.89, 4 Re 2.97, 2 Tc 3.22
Tc (0.5000, 0.2500, 0.2500)  8 Re 2.72-2.73, 2 Tc 2.89

Properties
As for the density of states at the Fermi level: 0.9963 states/eV/atom. As for the space-group type: No. 10. As for the energy: -36.17 eV per formula unit.



Crystalline Re2TcPb at its relaxed geometry, computed with PBE.

Unit cell a=2.9477 b=2.9477 c=7.8804 alpha=90.00 beta=90.00 gamma=90.00
Last column: nearest neighbours and their distance in Å.
Element x y z (fractional)
Re (0.0000, 0.0000, 0.4676)  4 Tc 2.70, 4 Re 2.95
Re (0.0000, 0.0000, 0.0324)  4 Tc 2.70, 4 Re 2.95
Tc (0.5000, 0.5000, 0.2500)  8 Re 2.70, 4 Tc 2.95
Pb (0.5000, 0.5000, 0.7500)  4 Pb 2.95, 8 Re 3.05

Properties
As for the density of states at the Fermi level: 1.1271 states/eV/atom. As for the space-group type: No. 123. As for the energy: -36.24 eV per formula unit.



Crystalline ReTc2Pb at its relaxed geometry, computed with PBE.

Unit cell a=9.2784 b=9.2784 c=9.2784 alpha=18.31 beta=18.31 gamma=18.31
Last column: nearest neighbours and their distance in Å.
Element x y z (fractional)
Pb (0.2500, 0.2500, 0.2500)  6 Pb 2.95, 6 Tc 3.04
Re (0.7500, 0.7500, 0.7500)  6 Tc 2.66, 6 Re 2.95
Tc (0.0086, 0.0086, 0.0086)  3 Re 2.66, 6 Tc 2.95
Tc (0.4914, 0.4914, 0.4914)  3 Re 2.66, 6 Tc 2.95

Properties
As for the density of states at the Fermi level: 0.7293 states/eV/atom. As for the space-group type: No. 166. As for the energy: -34.86 eV per formula unit.



Crystalline ReTc2Pb at its relaxed geometry, computed with PBE.

Unit cell a=3.2121 b=4.8464 c=4.3273 alpha=90.00 beta=90.00 gamma=90.00
Last column: nearest neighbours and their distance in Å.
Element x y z (fractional)
Tc (0.0000, 0.0000, 0.0000)  4 Pb 2.69, 4 Tc 2.91
Tc (0.5000, 0.5000, 0.0000)  4 Re 2.69, 4 Tc 2.91
Pb (0.5000, 0.0000, 0.5000)  4 Tc 2.69, 4 Re 2.91
Re (0.0000, 0.5000, 0.5000)  4 Tc 2.69, 4 Pb 2.91

Properties
As for the density of states at the Fermi level: 0.9728 states/eV/atom. As for the space-group type: No. 47. As for the energy: -33.60 eV per formula unit.



Crystalline Re2TcPb at its relaxed geometry, computed with PBE.

Unit cell a=4.8917 b=4.8917 c=4.8917 alpha=130.19 beta=130.19 gamma=73.11
Last column: nearest neighbours and their distance in Å.
Element x y z (fractional)
Re (0.2500, 0.7500, 0.5000)  4 Tc 2.85, 4 Re 2.85, 4 Pb 2.91
Re (0.0000, 0.0000, 0.0000)  4 Re 2.85, 4 Pb 2.85, 4 Tc 2.91
Pb (0.7500, 0.2500, 0.5000)  8 Re 2.85-2.91, 4 Tc 2.85
Tc (0.5000, 0.5000, 0.0000)  4 Pb 2.85, 8 Re 2.85-2.91

Properties
As for the density of states at the Fermi level: 1.5356 states/eV/atom. As for the space-group type: No. 119. As for the energy: -35.55 eV per formula unit.



Crystalline Re2TcPb at its relaxed geometry, computed with PBE.

Unit cell a=4.6202 b=3.8295 c=3.8295 alpha=90.00 beta=90.00 gamma=90.00
Last column: nearest neighbours and their distance in Å.
Element x y z (fractional)
Pb (0.5000, 0.0000, 0.5000)  4 Tc 2.71, 8 Re 3.00
Re (0.0000, 0.0000, 0.0000)  4 Re 2.71, 4 Tc 3.00, 4 Pb 3.00
Re (0.0000, 0.5000, 0.5000)  4 Re 2.71, 4 Pb 3.00, 4 Tc 3.00
Tc (0.5000, 0.5000, 0.0000)  4 Pb 2.71, 8 Re 3.00

Properties
As for the density of states at the Fermi level: 1.3009 states/eV/atom. As for the space-group type: No. 123. As for the energy: -35.07 eV per formula unit.



Crystalline ReTc2Pb at its relaxed geometry, computed with PBE.

Unit cell a=4.9433 b=4.9433 c=4.9241 alpha=78.13 beta=78.13 gamma=35.36
Last column: nearest neighbours and their distance in Å.
Element x y z (fractional)
Tc (0.7366, 0.7366, 0.7683)  2 Re 2.61, 2 Tc 2.76, 1 Pb 2.78
Tc (0.0001, 0.0001, 0.0273)  3 Re 2.66-2.77, 2 Tc 2.76, 4 Pb 2.84-2.93
Pb (0.4989, 0.4989, 0.5172)  7 Tc 2.78-2.93, 2 Pb 3.00, 3 Re 3.01-3.06
Re (0.2644, 0.2644, 0.1872)  5 Tc 2.61-2.77

Properties
As for the density of states at the Fermi level: 0.8591 states/eV/atom. As for the space-group type: No. 8. As for the energy: -34.54 eV per formula unit.



Crystalline Re2TcPb at its relaxed geometry, computed with PBE.

Unit cell a=5.0070 b=5.0070 c=4.8779 alpha=78.97 beta=78.97 gamma=34.82
Last column: nearest neighbours and their distance in Å.
Element x y z (fractional)
Pb (0.2500, 0.2500, 0.2500)  4 Tc 2.86, 6 Re 2.87-3.06, 2 Pb 3.00
Re (0.0172, 0.0172, 0.9571)  2 Re 2.59, 2 Tc 2.70, 1 Pb 2.87
Re (0.4828, 0.4828, 0.5429)  2 Re 2.59, 2 Tc 2.70, 1 Pb 2.87
Tc (0.7500, 0.7500, 0.7500)  6 Re 2.70-2.93, 4 Pb 2.86, 2 Tc 3.00

Properties
As for the density of states at the Fermi level: 0.9339 states/eV/atom. As for the space-group type: No. 12. As for the energy: -36.26 eV per formula unit.